The following is a PBE calculation of an optimized crystal structure of Li2MgAl2Ag5, from Alexandria.

Cell and atoms, written as POSCAR:
```
Li2MgAl2Ag5
1.0
9.452 0.000 0.000
0.000 9.452 0.000
0.000 0.000 4.120
Li Mg Al Ag
4 2 4 10
Cartesian
1.664 3.063 0.000
3.063 7.789 0.000
6.390 1.664 0.000
7.789 6.390 0.000
0.000 0.000 0.000
4.726 4.726 0.000
1.123 5.850 0.000
3.603 1.123 0.000
5.850 8.329 0.000
8.329 3.603 0.000
0.000 4.726 2.060
0.713 7.547 2.060
1.905 0.713 2.060
2.821 5.439 2.060
4.013 2.821 2.060
4.726 0.000 2.060
5.439 6.632 2.060
6.632 4.013 2.060
7.547 8.739 2.060
8.739 1.905 2.060
```

Symmetry: P4/mbm, No. 127
Energy relative to the elements: -115 meV per atom
Total magnetization: 0.0 μB per cell
Fermi-level density of states: 4.2 states/eV per cell